{
  "formula": "Cs2TlI3Br",
  "functional": "PBE-GGA",
  "state": "optimized geometry",
  "e_form_raw_ev_per_atom": -1.1097,
  "magmom_total_mub_per_cell": 0.0,
  "vol_a3_per_atom": 51.01,
  "lattice": [[5.915, 0.000, 0.000], [0.000, 6.128, 0.000], [-2.957, -3.064, 9.852]],
  "species": ["Cs", "Cs", "Tl", "I", "I", "I", "Br"],
  "frac_coords": [[0.639, 0.639, 0.278], [0.361, 0.361, 0.722], [0.000, 0.000, 0.000], [0.000, 0.500, 0.000], [0.164, 0.164, 0.329], [0.836, 0.836, 0.671], [0.500, 0.000, 0.000]]
}